Material: SrAgMo2
Method: DFT, GGA-PBE
State: optimized geometry Values from VASP.

```
&SYSTEM
  ibrav = 0, nat = 4, ntyp = 3
/
ATOMIC_SPECIES
Sr 87.62 Sr.upf
Ag 107.87 Ag.upf
Mo 95.94 Mo.upf
CELL_PARAMETERS angstrom
2.9941 0.0000 0.0000
0.0000 5.4834 0.0000
-0.3400 0.0000 5.0344
ATOMIC_POSITIONS angstrom
Sr 0.0000 0.0000 0.0000
Ag 1.3271 0.0000 2.5172
Mo 0.8594 2.7417 3.8255
Mo 1.7948 2.7417 1.2090
```

space group = P2/m, No. 10
ΔH_f (0 K) = 0.868 eV/atom
energy above the most stable polymorph in this dataset = 414 meV/atom
E_tot = -22.72 eV per formula unit

---

Material: SrAgMo2
Method: DFT, GGA-PBE
State: optimized geometry Values from VASP.

```
&SYSTEM
  ibrav = 0, nat = 4, ntyp = 3
/
ATOMIC_SPECIES
Sr 87.62 Sr.upf
Ag 107.87 Ag.upf
Mo 95.94 Mo.upf
CELL_PARAMETERS angstrom
-1.6755 2.7066 4.9165
1.6755 -2.7066 4.9165
1.6755 2.7066 -4.9165
ATOMIC_POSITIONS angstrom
Sr 0.0000 0.0000 0.0000
Ag 1.6755 0.0000 2.7935
Mo 0.0000 0.0000 5.3274
Mo 0.0000 2.7066 2.0991
```

space group = Imm2, No. 44
ΔH_f (0 K) = 0.725 eV/atom
energy above the most stable polymorph in this dataset = 272 meV/atom
E_tot = -23.29 eV per formula unit

---

Material: SrAgMo2
Method: DFT, GGA-PBE
State: optimized geometry Values from VASP.

```
&SYSTEM
  ibrav = 0, nat = 4, ntyp = 3
/
ATOMIC_SPECIES
Sr 87.62 Sr.upf
Ag 107.87 Ag.upf
Mo 95.94 Mo.upf
CELL_PARAMETERS angstrom
6.1102 -1.4138 0.0000
6.1102 1.4138 0.0000
-1.9826 0.0000 4.6752
ATOMIC_POSITIONS angstrom
Sr 0.0000 0.0000 0.0000
Ag 5.1189 0.0000 2.3376
Mo 1.3374 0.0000 3.4018
Mo 8.9004 0.0000 1.2735
```

space group = C2/m, No. 12
ΔH_f (0 K) = 0.823 eV/atom
energy above the most stable polymorph in this dataset = 370 meV/atom
E_tot = -22.90 eV per formula unit

---

Material: SrAgMo
Method: DFT, GGA-PBE
State: optimized geometry Values from VASP.

```
&SYSTEM
  ibrav = 0, nat = 3, ntyp = 3
/
ATOMIC_SPECIES
Sr 87.62 Sr.upf
Ag 107.87 Ag.upf
Mo 95.94 Mo.upf
CELL_PARAMETERS angstrom
-1.4923 2.0395 5.7956
1.4923 -2.0395 5.7956
1.4923 2.0395 -5.7956
ATOMIC_POSITIONS angstrom
Sr 0.0000 0.0000 0.0000
Ag 0.0000 0.0000 8.0947
Mo 0.0000 0.0000 3.4242
```

space group = Imm2, No. 44
ΔH_f (0 K) = 0.827 eV/atom
energy above the most stable polymorph in this dataset = 50 meV/atom
E_tot = -12.88 eV per formula unit

---

Material: SrAgMo2
Method: DFT, GGA-PBE
State: optimized geometry Values from VASP.

```
&SYSTEM
  ibrav = 0, nat = 4, ntyp = 3
/
ATOMIC_SPECIES
Sr 87.62 Sr.upf
Ag 107.87 Ag.upf
Mo 95.94 Mo.upf
CELL_PARAMETERS angstrom
4.6433 -1.3951 0.0000
4.6433 1.3951 0.0000
-0.3037 0.0000 6.5192
ATOMIC_POSITIONS angstrom
Sr 0.0000 0.0000 0.0000
Ag 2.1065 0.0000 4.6083
Mo 4.6529 0.0000 3.0577
Mo 6.9511 0.0000 2.0602
```

space group = Cm, No. 8
ΔH_f (0 K) = 0.751 eV/atom
energy above the most stable polymorph in this dataset = 298 meV/atom
E_tot = -23.19 eV per formula unit

---

Material: SrAg2Mo
Method: DFT, GGA-PBE
State: optimized geometry Values from VASP.

```
&SYSTEM
  ibrav = 0, nat = 4, ntyp = 3
/
ATOMIC_SPECIES
Sr 87.62 Sr.upf
Ag 107.87 Ag.upf
Mo 95.94 Mo.upf
CELL_PARAMETERS angstrom
3.0602 0.0000 0.0000
0.0000 3.0602 0.0000
0.0000 0.0000 8.8632
ATOMIC_POSITIONS angstrom
Sr 0.0000 0.0000 0.0000
Ag 1.5301 1.5301 2.5233
Ag 1.5301 1.5301 6.3399
Mo 0.0000 0.0000 4.4316
```

space group = P4/mmm, No. 123
ΔH_f (0 K) = 0.558 eV/atom
energy above the most stable polymorph in this dataset = 11 meV/atom
E_tot = -15.98 eV per formula unit

---

Material: SrAg2Mo
Method: DFT, GGA-PBE
State: optimized geometry Values from VASP.

```
&SYSTEM
  ibrav = 0, nat = 8, ntyp = 3
/
ATOMIC_SPECIES
Sr 87.62 Sr.upf
Ag 107.87 Ag.upf
Mo 95.94 Mo.upf
CELL_PARAMETERS angstrom
-2.4915 2.4915 9.6157
2.4915 -2.4915 9.6157
2.4915 2.4915 -9.6157
ATOMIC_POSITIONS angstrom
Sr 0.0000 0.0000 0.0000
Sr 0.0000 2.4915 4.8078
Ag 1.2457 -0.5435 7.2118
Ag 1.9480 1.2457 2.4039
Ag 1.2457 3.0349 -2.4039
Ag 0.5435 1.2457 12.0196
Mo 2.4915 0.0000 4.8078
Mo 0.0000 0.0000 9.6157
```

space group = I-42d, No. 122
ΔH_f (0 K) = 0.895 eV/atom
energy above the most stable polymorph in this dataset = 348 meV/atom
E_tot = -14.64 eV per formula unit

---

Material: SrAgMo2
Method: DFT, GGA-PBE
State: optimized geometry Values from VASP.

```
&SYSTEM
  ibrav = 0, nat = 4, ntyp = 3
/
ATOMIC_SPECIES
Sr 87.62 Sr.upf
Ag 107.87 Ag.upf
Mo 95.94 Mo.upf
CELL_PARAMETERS angstrom
2.8206 -5.1681 0.0000
2.8206 5.1681 0.0000
0.0000 0.0000 2.7308
ATOMIC_POSITIONS angstrom
Sr 0.0000 0.0000 0.0000
Ag 2.8206 0.0000 0.0000
Mo 1.4103 2.5841 1.3654
Mo 1.4103 -2.5841 1.3654
```

space group = Cmmm, No. 65
ΔH_f (0 K) = 0.973 eV/atom
energy above the most stable polymorph in this dataset = 519 meV/atom
E_tot = -22.30 eV per formula unit

---

Material: Sr2AgMo
Method: DFT, GGA-PBE
State: optimized geometry Values from VASP.

```
&SYSTEM
  ibrav = 0, nat = 4, ntyp = 3
/
ATOMIC_SPECIES
Sr 87.62 Sr.upf
Ag 107.87 Ag.upf
Mo 95.94 Mo.upf
CELL_PARAMETERS angstrom
0.0000 3.8264 3.8264
3.8264 0.0000 3.8264
3.8264 3.8264 0.0000
ATOMIC_POSITIONS angstrom
Sr 0.0000 0.0000 0.0000
Sr 1.9132 1.9132 1.9132
Ag 5.7397 5.7397 5.7397
Mo 3.8264 3.8264 3.8264
```

space group = F-43m, No. 216
ΔH_f (0 K) = 0.807 eV/atom
energy above the most stable polymorph in this dataset = 221 meV/atom
E_tot = -13.82 eV per formula unit

---

Material: SrAg3Mo
Method: DFT, GGA-PBE
State: optimized geometry Values from VASP.

```
&SYSTEM
  ibrav = 0, nat = 5, ntyp = 3
/
ATOMIC_SPECIES
Sr 87.62 Sr.upf
Ag 107.87 Ag.upf
Mo 95.94 Mo.upf
CELL_PARAMETERS angstrom
5.2404 0.0000 0.0000
0.0000 5.2404 0.0000
0.0000 0.0000 5.2404
ATOMIC_POSITIONS angstrom
Sr 0.0000 0.0000 0.0000
Ag 0.0000 2.6202 2.6202
Ag 2.6202 0.0000 2.6202
Ag 2.6202 2.6202 0.0000
Mo 2.6202 2.6202 2.6202
```

space group = Pm-3m, No. 221
ΔH_f (0 K) = 0.769 eV/atom
energy above the most stable polymorph in this dataset = 0 meV/atom
E_tot = -17.22 eV per formula unit

---

Material: SrAgMo
Method: DFT, GGA-PBE
State: optimized geometry Values from VASP.

```
&SYSTEM
  ibrav = 0, nat = 3, ntyp = 3
/
ATOMIC_SPECIES
Sr 87.62 Sr.upf
Ag 107.87 Ag.upf
Mo 95.94 Mo.upf
CELL_PARAMETERS angstrom
5.1576 0.0000 0.0000
-2.5788 4.4666 0.0000
0.0000 0.0000 2.9336
ATOMIC_POSITIONS angstrom
Sr 0.0000 0.0000 0.0000
Ag 2.5788 1.4889 1.4606
Mo 0.0000 2.9777 1.4716
```

space group = P3m1, No. 156
ΔH_f (0 K) = 0.936 eV/atom
energy above the most stable polymorph in this dataset = 159 meV/atom
E_tot = -12.56 eV per formula unit

---

Material: SrAg4Mo
Method: DFT, GGA-PBE
State: optimized geometry Values from VASP.

```
&SYSTEM
  ibrav = 0, nat = 6, ntyp = 3
/
ATOMIC_SPECIES
Sr 87.62 Sr.upf
Ag 107.87 Ag.upf
Mo 95.94 Mo.upf
CELL_PARAMETERS angstrom
0.0000 4.0197 4.0197
4.0197 0.0000 4.0197
4.0197 4.0197 0.0000
ATOMIC_POSITIONS angstrom
Sr 0.0000 0.0000 0.0000
Ag 5.0193 3.0200 3.0200
Ag 3.0200 5.0193 3.0200
Ag 3.0200 3.0200 5.0193
Ag 5.0193 5.0193 5.0193
Mo 2.0098 2.0098 2.0098
```

space group = F-43m, No. 216
ΔH_f (0 K) = 0.388 eV/atom
E_tot = -21.59 eV per formula unit

---

Material: SrAgMo
Method: DFT, GGA-PBE
State: optimized geometry Values from VASP.

```
&SYSTEM
  ibrav = 0, nat = 3, ntyp = 3
/
ATOMIC_SPECIES
Sr 87.62 Sr.upf
Ag 107.87 Ag.upf
Mo 95.94 Mo.upf
CELL_PARAMETERS angstrom
-1.4948 1.4948 7.2286
1.4948 -1.4948 7.2286
1.4948 1.4948 -7.2286
ATOMIC_POSITIONS angstrom
Sr 0.0000 0.0000 0.0000
Ag 0.0000 0.0000 9.8916
Mo 0.0000 0.0000 4.6486
```

space group = I4mm, No. 107
ΔH_f (0 K) = 0.777 eV/atom
energy above the most stable polymorph in this dataset = 0 meV/atom
E_tot = -13.03 eV per formula unit

---

Material: SrAgMo2
Method: DFT, GGA-PBE
State: optimized geometry Values from VASP.

```
&SYSTEM
  ibrav = 0, nat = 4, ntyp = 3
/
ATOMIC_SPECIES
Sr 87.62 Sr.upf
Ag 107.87 Ag.upf
Mo 95.94 Mo.upf
CELL_PARAMETERS angstrom
1.9574 -1.9653 0.0000
1.9574 1.9653 0.0000
0.0000 0.0000 10.0139
ATOMIC_POSITIONS angstrom
Sr 0.0000 0.0000 0.0000
Ag 0.0000 0.0000 5.0069
Mo 1.9574 0.0000 2.7737
Mo 1.9574 0.0000 7.2402
```

space group = Cmmm, No. 65
ΔH_f (0 K) = 0.918 eV/atom
energy above the most stable polymorph in this dataset = 464 meV/atom
E_tot = -22.52 eV per formula unit

---

Material: SrAgMo
Method: DFT, GGA-PBE
State: optimized geometry Values from VASP.

```
&SYSTEM
  ibrav = 0, nat = 3, ntyp = 3
/
ATOMIC_SPECIES
Sr 87.62 Sr.upf
Ag 107.87 Ag.upf
Mo 95.94 Mo.upf
CELL_PARAMETERS angstrom
0.0000 3.5558 3.5558
3.5558 0.0000 3.5558
3.5558 3.5558 0.0000
ATOMIC_POSITIONS angstrom
Sr 0.0000 0.0000 0.0000
Ag 5.3337 5.3337 5.3337
Mo 3.5558 3.5558 3.5558
```

space group = F-43m, No. 216
ΔH_f (0 K) = 1.059 eV/atom
energy above the most stable polymorph in this dataset = 282 meV/atom
E_tot = -12.19 eV per formula unit

---

Material: SrAg2Mo
Method: DFT, GGA-PBE
State: optimized geometry Values from VASP.

```
&SYSTEM
  ibrav = 0, nat = 4, ntyp = 3
/
ATOMIC_SPECIES
Sr 87.62 Sr.upf
Ag 107.87 Ag.upf
Mo 95.94 Mo.upf
CELL_PARAMETERS angstrom
1.5251 0.8805 10.2329
-1.5251 0.8805 10.2329
0.0000 -1.7610 10.2329
ATOMIC_POSITIONS angstrom
Sr 0.0000 0.0000 0.0000
Ag 0.0000 0.0000 7.4286
Ag 0.0000 0.0000 23.2701
Mo 0.0000 0.0000 15.3493
```

space group = R-3m, No. 166
ΔH_f (0 K) = 0.804 eV/atom
energy above the most stable polymorph in this dataset = 257 meV/atom
E_tot = -15.00 eV per formula unit

---

Material: TaAgMo
Method: DFT, GGA-PBE
State: optimized geometry Values from VASP.

```
&SYSTEM
  ibrav = 0, nat = 3, ntyp = 3
/
ATOMIC_SPECIES
Ta 180.95 Ta.upf
Ag 107.87 Ag.upf
Mo 95.94 Mo.upf
CELL_PARAMETERS angstrom
-1.6744 1.6744 4.7305
1.6744 -1.6744 4.7305
1.6744 1.6744 -4.7305
ATOMIC_POSITIONS angstrom
Ta 0.0000 0.0000 0.0000
Ag 0.0000 0.0000 2.9899
Mo 0.0000 0.0000 6.0045
```

space group = I4mm, No. 107
ΔH_f (0 K) = 0.412 eV/atom
energy above the most stable polymorph in this dataset = 184 meV/atom
E_tot = -24.30 eV per formula unit

---

Material: Ta2AgMo2
Method: DFT, GGA-PBE
State: optimized geometry Values from VASP.

```
&SYSTEM
  ibrav = 0, nat = 10, ntyp = 3
/
ATOMIC_SPECIES
Ta 180.95 Ta.upf
Ag 107.87 Ag.upf
Mo 95.94 Mo.upf
CELL_PARAMETERS angstrom
7.5212 0.0000 0.0000
0.0000 7.5212 0.0000
0.0000 0.0000 3.2119
ATOMIC_POSITIONS angstrom
Ta 1.0676 2.6930 0.0000
Ta 2.6930 6.4536 0.0000
Ta 4.8282 1.0676 0.0000
Ta 6.4536 4.8282 0.0000
Ag 0.0000 0.0000 0.0000
Ag 3.7606 3.7606 0.0000
Mo 1.1694 4.9300 1.6059
Mo 2.5912 1.1694 1.6059
Mo 4.9300 6.3518 1.6059
Mo 6.3518 2.5912 1.6059
```

space group = P4/mbm, No. 127
ΔH_f (0 K) = 0.524 eV/atom
energy above the most stable polymorph in this dataset = 0 meV/atom
E_tot = -45.60 eV per formula unit

---

Material: TaAgMo
Method: DFT, GGA-PBE
State: optimized geometry Values from VASP.

```
&SYSTEM
  ibrav = 0, nat = 3, ntyp = 3
/
ATOMIC_SPECIES
Ta 180.95 Ta.upf
Ag 107.87 Ag.upf
Mo 95.94 Mo.upf
CELL_PARAMETERS angstrom
-1.3653 1.3653 6.8899
1.3653 -1.3653 6.8899
1.3653 1.3653 -6.8899
ATOMIC_POSITIONS angstrom
Ta 0.0000 0.0000 0.0000
Ag 0.0000 0.0000 9.2061
Mo 0.0000 0.0000 4.5797
```

space group = I4mm, No. 107
ΔH_f (0 K) = 0.319 eV/atom
energy above the most stable polymorph in this dataset = 92 meV/atom
E_tot = -24.58 eV per formula unit

---

Material: TaAg2Mo
Method: DFT, GGA-PBE
State: optimized geometry Values from VASP.

```
&SYSTEM
  ibrav = 0, nat = 4, ntyp = 3
/
ATOMIC_SPECIES
Ta 180.95 Ta.upf
Ag 107.87 Ag.upf
Mo 95.94 Mo.upf
CELL_PARAMETERS angstrom
-1.9284 1.9284 4.5789
1.9284 -1.9284 4.5789
1.9284 1.9284 -4.5789
ATOMIC_POSITIONS angstrom
Ta 0.0000 0.0000 0.0000
Ag 1.9284 0.0000 2.2895
Ag 0.0000 1.9284 2.2895
Mo 0.0000 0.0000 4.5789
```

space group = I4/mmm, No. 139
ΔH_f (0 K) = 0.405 eV/atom
energy above the most stable polymorph in this dataset = 214 meV/atom
E_tot = -26.77 eV per formula unit